DFT (PBE with a Hubbard U) results for CoRuF5 after structural relaxation.

energy	-5.118	eV/atom
space-group type	C2/c

POSCAR file:
```
CoRuF5
1.0
-2.4609 4.2704 2.1645
-2.5898 -1.7861 4.3681
8.7337 -0.3266 -0.3868
Co Ru F
2 2 10
Cartesian
-1.6070 1.6674 4.8443
5.2900 0.4903 1.3015
0.0000 0.0000 0.0000
1.8415 1.0789 3.0729
-3.2787 1.8861 5.8590
1.8784 3.0809 2.7933
3.6253 1.0375 2.1967
0.9364 1.2743 1.2691
6.1860 -0.3991 2.9090
-2.5031 2.5569 3.2368
2.7466 0.8834 4.8767
0.0576 1.1202 3.9491
1.8046 -0.9232 3.3525
6.9617 0.2717 0.2868
```